First-principles (GGA-PBE) data for Zr3CuAg3Se8 after structural relaxation, as listed in Alexandria via LeMat-Bulk.

Cell lengths 13.3412, 7.7172, 8.1447 Å; angles 90.00, 123.19, 90.00 degrees
Space group C2/m (No. 12)
Unique sites:
Zr  0.0000  0.0000  0.0000 (multiplicity 2)
Zr  0.2500  0.2500  0.0000 (multiplicity 4)
Cu  0.0000  0.5000  0.0000 (multiplicity 2)
Ag  0.0000  0.5000  0.5000 (multiplicity 2)
Ag  0.2500  0.2500  0.5000 (multiplicity 4)
Se  0.0067  0.2540  0.7748 (multiplicity 8)
Se  0.2373  0.5000  0.2239 (multiplicity 4)
Se  0.2440  0.0000  0.2311 (multiplicity 4)

Output
ρ: 6.12 Mg/m³
Raw total energy: -76.3 eV per formula unit

First-principles (GGA-PBE) data for CuSi2Ag after structural relaxation, as listed in Alexandria via LeMat-Bulk.

Cell lengths 2.7423, 2.7423, 8.0249 Å; angles 90.00, 90.00, 90.00 degrees
Space group P4/mmm (No. 123)
Unique sites:
Cu  0.0000  0.0000  0.0000 (multiplicity 1)
Si  0.5000  0.5000  0.2212 (multiplicity 2)
Ag  0.0000  0.0000  0.5000 (multiplicity 1)

Output
Distance to the lowest polymorph of the same formula: 78.1 meV/atom
ρ: 6.26 Mg/m³
Raw total energy: -16.6 eV per formula unit

First-principles (GGA-PBE) data for CuSiAg4 after structural relaxation, as listed in Alexandria via LeMat-Bulk.

Cell lengths 7.6515, 7.6515, 7.6515 Å; angles 90.00, 90.00, 90.00 degrees
Space group F-43m (No. 216)
Unique sites:
Cu  0.0000  0.0000  0.0000 (multiplicity 4)
Si  0.2500  0.2500  0.7500 (multiplicity 4)
Ag  0.1251  0.1251  0.3749 (multiplicity 16)

Output
ρ: 7.76 Mg/m³
Raw total energy: -18.0 eV per formula unit

First-principles (GGA-PBE) data for Cu2SiAg after structural relaxation, as listed in Alexandria via LeMat-Bulk.

Cell lengths 2.7768, 2.7768, 25.2097 Å; angles 90.00, 90.00, 120.00 degrees
Space group R-3m (No. 166, hexagonal axes)
Unique sites:
Cu  0.0000  0.0000  0.2421 (multiplicity 6)
Si  0.0000  0.0000  0.5000 (multiplicity 3)
Ag  0.0000  0.0000  0.0000 (multiplicity 3)

Output
ρ: 7.78 Mg/m³
Raw total energy: -16.1 eV per formula unit

First-principles (GGA-PBE) data for CuSi2Ag after structural relaxation, as listed in Alexandria via LeMat-Bulk.

Cell lengths 2.7767, 2.7767, 7.6934 Å; angles 90.00, 90.00, 90.00 degrees
Space group P4mm (No. 99)
Unique sites:
Cu  0.0000  0.0000  0.0000 (multiplicity 1)
Si  0.0000  0.0000  0.4579 (multiplicity 1)
Si  0.5000  0.5000  0.2072 (multiplicity 1)
Ag  0.5000  0.5000  0.7363 (multiplicity 1)

Output
Distance to the lowest polymorph of the same formula: 71.8 meV/atom
ρ: 6.37 Mg/m³
Raw total energy: -16.7 eV per formula unit

First-principles (GGA-PBE) data for Cu2SiAg after structural relaxation, as listed in Alexandria via LeMat-Bulk.

Cell lengths 2.7756, 2.7756, 25.5449 Å; angles 90.00, 90.00, 120.00 degrees
Space group R3m (No. 160, hexagonal axes)
Unique sites:
Cu  0.0000  0.0000  0.0000 (multiplicity 3)
Cu  0.0000  0.0000  0.2553 (multiplicity 3)
Si  0.0000  0.0000  0.7417 (multiplicity 3)
Ag  0.0000  0.0000  0.5002 (multiplicity 3)

Output
ρ: 7.69 Mg/m³
Raw total energy: -15.9 eV per formula unit

First-principles (GGA-PBE) data for CuSi2Ag after structural relaxation, as listed in Alexandria via LeMat-Bulk.

Cell lengths 2.7626, 4.7640, 4.8807 Å; angles 90.00, 106.38, 90.00 degrees
Space group Pm (No. 6)
Unique sites:
Cu  0.0000  0.0000  0.0000 (multiplicity 1)
Si  0.7295  0.0000  0.4570 (multiplicity 1)
Si  0.8312  0.5000  0.6600 (multiplicity 1)
Ag  0.5627  0.5000  0.1199 (multiplicity 1)

Output
Distance to the lowest polymorph of the same formula: 39.5 meV/atom
ρ: 6.13 Mg/m³
Raw total energy: -16.8 eV per formula unit

First-principles (GGA-PBE) data for Cu2SiAg after structural relaxation, as listed in Alexandria via LeMat-Bulk.

Cell lengths 6.9314, 6.9314, 5.1038 Å; angles 90.00, 90.00, 90.00 degrees
Space group I-42d (No. 122)
Unique sites:
Cu  0.2122  0.2500  0.1250 (multiplicity 8)
Si  0.0000  0.0000  0.0000 (multiplicity 4)
Ag  0.0000  0.0000  0.5000 (multiplicity 4)

Output
ρ: 7.13 Mg/m³
Raw total energy: -15.3 eV per formula unit

First-principles (GGA-PBE) data for Cu2Si2Ag after structural relaxation, as listed in Alexandria via LeMat-Bulk.

Cell lengths 3.5325, 3.5325, 11.8497 Å; angles 90.00, 90.00, 90.00 degrees
Space group I4/mmm (No. 139)
Unique sites:
Cu  0.0000  0.0000  0.1066 (multiplicity 4)
Si  0.0000  0.5000  0.2500 (multiplicity 4)
Ag  0.0000  0.0000  0.5000 (multiplicity 2)

Output
Distance to the lowest polymorph of the same formula: 0.0 meV/atom
ρ: 6.54 Mg/m³
Raw total energy: -21.1 eV per formula unit

First-principles (GGA-PBE) data for Cu2Si2Ag after structural relaxation, as listed in Alexandria via LeMat-Bulk.

Cell lengths 7.2505, 7.2505, 2.7885 Å; angles 90.00, 90.00, 90.00 degrees
Space group P4/mbm (No. 127)
Unique sites:
Cu  0.1233  0.3767  0.0000 (multiplicity 4)
Si  0.1758  0.6758  0.5000 (multiplicity 4)
Ag  0.0000  0.0000  0.0000 (multiplicity 2)

Output
Distance to the lowest polymorph of the same formula: 61.8 meV/atom
ρ: 6.60 Mg/m³
Raw total energy: -20.8 eV per formula unit

First-principles (GGA-PBE) data for CuSi2Ag after structural relaxation, as listed in Alexandria via LeMat-Bulk.

Cell lengths 6.3056, 6.3056, 6.3056 Å; angles 90.00, 90.00, 90.00 degrees
Space group Fm-3m (No. 225)
Unique sites:
Cu  0.0000  0.0000  0.0000 (multiplicity 4)
Si  0.2500  0.2500  0.2500 (multiplicity 8)
Ag  0.0000  0.0000  0.5000 (multiplicity 4)

Output
Distance to the lowest polymorph of the same formula: 234.1 meV/atom
ρ: 6.03 Mg/m³
Raw total energy: -16.0 eV per formula unit

First-principles (GGA-PBE) data for CuSi2Ag after structural relaxation, as listed in Alexandria via LeMat-Bulk.

Cell lengths 2.6766, 3.8312, 5.9678 Å; angles 90.00, 90.00, 90.00 degrees
Space group Pmmm (No. 47)
Unique sites:
Cu  0.0000  0.0000  0.0000 (multiplicity 1)
Si  0.5000  0.5000  0.2125 (multiplicity 2)
Ag  0.0000  0.0000  0.5000 (multiplicity 1)

Output
Distance to the lowest polymorph of the same formula: 88.1 meV/atom
ρ: 6.18 Mg/m³
Raw total energy: -16.6 eV per formula unit

First-principles (GGA-PBE) data for CuSi2Ag after structural relaxation, as listed in Alexandria via LeMat-Bulk.

Cell lengths 6.2834, 6.2834, 6.2834 Å; angles 90.00, 90.00, 90.00 degrees
Space group F-43m (No. 216)
Unique sites:
Cu  0.0000  0.0000  0.0000 (multiplicity 4)
Si  0.0000  0.0000  0.5000 (multiplicity 4)
Si  0.2500  0.2500  0.7500 (multiplicity 4)
Ag  0.2500  0.2500  0.2500 (multiplicity 4)

Output
Distance to the lowest polymorph of the same formula: 246.3 meV/atom
ρ: 6.09 Mg/m³
Raw total energy: -16.0 eV per formula unit

First-principles (GGA-PBE) data for Cu2SiAg after structural relaxation, as listed in Alexandria via LeMat-Bulk.

Cell lengths 2.7314, 2.7314, 7.5991 Å; angles 90.00, 90.00, 90.00 degrees
Space group P4mm (No. 99)
Unique sites:
Cu  0.0000  0.0000  0.0000 (multiplicity 1)
Cu  0.5000  0.5000  0.2244 (multiplicity 1)
Si  0.0000  0.0000  0.4410 (multiplicity 1)
Ag  0.5000  0.5000  0.7369 (multiplicity 1)

Output
ρ: 7.70 Mg/m³
Raw total energy: -15.9 eV per formula unit

First-principles (GGA-PBE) data for Cu2SiAg after structural relaxation, as listed in Alexandria via LeMat-Bulk.

Cell lengths 3.9568, 3.9568, 3.5491 Å; angles 90.00, 90.00, 90.00 degrees
Space group P4/mmm (No. 123)
Unique sites:
Cu  0.0000  0.5000  0.0000 (multiplicity 2)
Si  0.0000  0.0000  0.5000 (multiplicity 1)
Ag  0.5000  0.5000  0.5000 (multiplicity 1)

Output
ρ: 7.86 Mg/m³
Raw total energy: -15.9 eV per formula unit

First-principles (GGA-PBE) data for Cu2SiAg after structural relaxation, as listed in Alexandria via LeMat-Bulk.

Cell lengths 2.9524, 3.1362, 6.0134 Å; angles 90.00, 90.00, 90.00 degrees
Space group Pmmm (No. 47)
Unique sites:
Cu  0.0000  0.0000  0.2165 (multiplicity 2)
Si  0.5000  0.5000  0.0000 (multiplicity 1)
Ag  0.5000  0.5000  0.5000 (multiplicity 1)

Output
ρ: 7.84 Mg/m³
Raw total energy: -16.1 eV per formula unit

First-principles (GGA-PBE) data for Cu2Si2Ag after structural relaxation, as listed in Alexandria via LeMat-Bulk.

Cell lengths 7.3383, 7.3383, 2.6899 Å; angles 90.00, 90.00, 90.00 degrees
Space group P4/mbm (No. 127)
Unique sites:
Cu  0.1761  0.3239  0.0000 (multiplicity 4)
Si  0.1233  0.6233  0.5000 (multiplicity 4)
Ag  0.0000  0.0000  0.5000 (multiplicity 2)

Output
Distance to the lowest polymorph of the same formula: 52.2 meV/atom
ρ: 6.67 Mg/m³
Raw total energy: -20.8 eV per formula unit

First-principles (GGA-PBE) data for CuSi2Ag after structural relaxation, as listed in Alexandria via LeMat-Bulk.

Cell lengths 8.2240, 2.9368, 5.0992 Å; angles 90.00, 101.66, 90.00 degrees
Space group C2/m (No. 12)
Unique sites:
Cu  0.0000  0.0000  0.0000 (multiplicity 2)
Si  0.2442  0.5000  0.2124 (multiplicity 4)
Ag  0.0000  0.5000  0.5000 (multiplicity 2)

Output
Distance to the lowest polymorph of the same formula: 14.7 meV/atom
ρ: 6.27 Mg/m³
Raw total energy: -16.9 eV per formula unit

First-principles (GGA-PBE) data for CuSi2Ag after structural relaxation, as listed in Alexandria via LeMat-Bulk.

Cell lengths 2.9787, 2.9787, 23.4527 Å; angles 90.00, 90.00, 120.00 degrees
Space group R3m (No. 160, hexagonal axes)
Unique sites:
Cu  0.0000  0.0000  0.0000 (multiplicity 3)
Si  0.0000  0.0000  0.2604 (multiplicity 3)
Si  0.0000  0.0000  0.5151 (multiplicity 3)
Ag  0.0000  0.0000  0.7595 (multiplicity 3)

Output
Distance to the lowest polymorph of the same formula: 0.0 meV/atom
ρ: 6.29 Mg/m³
Raw total energy: -16.9 eV per formula unit

First-principles (GGA-PBE) data for Cu2SiAg after structural relaxation, as listed in Alexandria via LeMat-Bulk.

Cell lengths 2.8098, 2.8098, 24.6502 Å; angles 90.00, 90.00, 120.00 degrees
Space group R3m (No. 160, hexagonal axes)
Unique sites:
Cu  0.0000  0.0000  0.0000 (multiplicity 3)
Cu  0.0000  0.0000  0.1826 (multiplicity 3)
Si  0.0000  0.0000  0.5913 (multiplicity 3)
Ag  0.0000  0.0000  0.7579 (multiplicity 3)

Output
ρ: 7.77 Mg/m³
Raw total energy: -16.1 eV per formula unit

First-principles (GGA-PBE) data for Cu2SiAg after structural relaxation, as listed in Alexandria via LeMat-Bulk.

Cell lengths 2.7849, 3.8906, 5.3180 Å; angles 90.00, 102.67, 90.00 degrees
Space group P2/m (No. 10)
Unique sites:
Cu  0.1142  0.0000  0.2763 (multiplicity 2)
Si  0.5000  0.5000  0.5000 (multiplicity 1)
Ag  0.5000  0.5000  0.0000 (multiplicity 1)

Output
ρ: 7.77 Mg/m³
Raw total energy: -16.1 eV per formula unit